[1]
Pr2Ho | PBE | relaxed

```
Pr2Ho
1.0
3.667 0.000 0.000
-1.833 3.176 0.000
0.000 0.000 35.374
Pr Ho
8 4
Direct
0.000 0.000 0.246
0.333 0.667 0.668
0.333 0.667 0.332
0.000 0.000 0.582
0.000 0.000 0.082
0.000 0.000 0.754
0.000 0.000 0.418
0.000 0.000 0.918
0.667 0.333 0.500
0.667 0.333 0.164
0.667 0.333 0.836
0.333 0.667 0.000
```

Values from the calculation:
Excess energy over the best structure of this formula in the dataset: 0 meV per atom
Formation energy from the elements: 0.00 eV per atom

---

[2]
PrHo4 | PBE | relaxed

```
PrHo4
1.0
7.052 0.000 0.000
3.526 5.384 0.709
3.526 1.597 8.653
Ho Pr
8 2
Direct
0.850 0.200 0.599
0.694 0.388 0.223
0.650 0.800 0.401
0.806 0.611 0.777
0.306 0.612 0.777
0.150 0.800 0.401
0.350 0.200 0.599
0.194 0.389 0.223
0.750 0.000 0.000
0.250 0.000 0.000
```

Values from the calculation:
Excess energy over the best structure of this formula in the dataset: 17 meV per atom
Formation energy from the elements: 0.04 eV per atom

---

[3]
Pr7Ho6 | PBE | relaxed

```
Pr7Ho6
1.0
6.551 0.000 1.316
3.143 5.747 1.316
0.965 0.572 12.156
Ho Pr
6 7
Direct
0.853 0.853 0.442
0.954 0.954 0.137
0.665 0.665 0.004
0.046 0.046 0.863
0.147 0.147 0.558
0.335 0.335 0.996
0.594 0.594 0.737
0.925 0.406 0.263
0.075 0.594 0.737
0.594 0.075 0.737
0.406 0.925 0.263
0.500 0.500 0.500
0.406 0.406 0.263
```

Values from the calculation:
Formation energy from the elements: 0.25 eV per atom

---

[4]
Pr13Ho2 | PBE | relaxed

```
Pr13Ho2
1.0
-3.258 -6.018 0.159
6.076 -1.699 6.759
-8.156 3.109 3.071
Pr Ho
13 2
Direct
0.499 0.831 0.835
0.396 0.603 0.406
0.898 0.437 0.234
0.807 0.193 0.790
0.193 0.807 0.210
0.102 0.563 0.766
0.604 0.397 0.594
0.501 0.169 0.165
0.298 0.372 0.974
0.696 0.962 0.362
0.702 0.628 0.026
0.304 0.038 0.638
0.000 0.000 0.000
0.099 0.232 0.430
0.901 0.768 0.570
```

Values from the calculation:
Excess energy over the best structure of this formula in the dataset: 0 meV per atom
Formation energy from the elements: 0.05 eV per atom

---

[5]
PrHo2 | PBE | relaxed

```
PrHo2
1.0
-2.902 1.808 -1.105
-1.915 -1.436 2.681
4.328 5.637 3.701
Ho Pr
2 1
Direct
0.331 0.331 0.662
0.669 0.669 0.338
0.000 0.000 0.000
```

Values from the calculation:
Excess energy over the best structure of this formula in the dataset: 29 meV per atom
Formation energy from the elements: 0.03 eV per atom

---

[6]
Pr3Ho5 | PBE | relaxed

```
Pr3Ho5
1.0
-0.016 3.418 -1.136
-2.226 -0.903 -2.684
-15.960 3.890 11.931
Pr Ho
3 5
Direct
0.000 0.000 0.500
0.500 0.500 0.126
0.500 0.500 0.874
0.000 0.000 0.747
0.000 0.000 0.000
0.000 0.000 0.253
0.500 0.500 0.626
0.500 0.500 0.374
```

Values from the calculation:
Excess energy over the best structure of this formula in the dataset: 4 meV per atom
Formation energy from the elements: 0.02 eV per atom

---

[7]
PrHo | PBE | relaxed

```
PrHo
1.0
3.640 0.000 0.370
0.000 5.852 0.000
-0.643 0.000 6.274
Ho Pr
2 2
Direct
0.249 0.250 0.419
0.751 0.750 0.581
0.251 0.750 0.081
0.749 0.250 0.919
```

Values from the calculation:
Excess energy over the best structure of this formula in the dataset: 22 meV per atom
Formation energy from the elements: 0.03 eV per atom

---

[8]
Pr6Ho5 | PBE | relaxed

```
Pr6Ho5
1.0
10.384 0.000 -0.336
5.192 6.727 -0.168
2.971 0.000 5.345
Ho Pr
5 6
Direct
0.500 0.000 0.500
0.630 0.741 0.000
0.766 0.467 0.500
0.370 0.259 0.000
0.234 0.533 0.500
0.816 0.000 0.589
0.673 0.281 0.113
0.184 0.000 0.411
0.954 0.719 0.113
0.046 0.281 0.887
0.327 0.719 0.887
```

Values from the calculation:
Formation energy from the elements: 0.12 eV per atom